Material: ScNbB2
Method: DFT, GGA-PBE
State: relaxed

a b c (Å): 5.8551 5.8551 5.8551
angles (deg): 90.00 90.00 90.00
Last column: nearest neighbours and their distance in Å.
Space group F-43m (No. 216)
One atom of each set of equivalent atoms:
Sc (0.0000, 0.0000, 0.0000) x4  4 Nb 2.54, 4 B 2.54
Nb (0.2500, 0.2500, 0.2500) x4  4 Sc 2.54, 4 B 2.54
B (0.0000, 0.0000, 0.5000) x4  4 Nb 2.54, 4 B 2.54
B (0.2500, 0.2500, 0.7500) x4  4 Sc 2.54, 4 B 2.54

***

Material: SmErZn2Pb2
Method: DFT, GGA-PBE
State: relaxed

a b c (Å): 4.6217 4.6217 15.9955
angles (deg): 90.00 90.00 120.00
Last column: nearest neighbours and their distance in Å.
Space group P6_3/mmc (No. 194)
One atom of each set of equivalent atoms:
Sm (0.0000, 0.0000, 0.2500) x2  6 Zn 3.01
Er (0.0000, 0.0000, 0.0000) x2  6 Pb 3.17
Zn (0.3333, 0.6667, 0.1626) x4  1 Zn 2.80, 3 Pb 2.81, 3 Sm 3.01
Pb (0.3333, 0.6667, 0.6074) x4  3 Zn 2.81

***

Material: Lu2CuC
Method: DFT, GGA-PBE
State: relaxed

a b c (Å): 10.4659 6.0312 14.3674
angles (deg): 90.00 104.29 90.00
Last column: nearest neighbours and their distance in Å.
Space group C2/c (No. 15)
One atom of each set of equivalent atoms:
Lu (0.0481, 0.0829, 0.3983) x8  3 C 2.42-2.47
Lu (0.1138, 0.4151, 0.5903) x8  3 C 2.37-2.41
Lu (0.2197, 0.4171, 0.9098) x8  3 C 2.37-2.41
Cu (0.0000, 0.4269, 0.7500) x4  4 Lu 2.82-2.84, 4 Cu 3.01-3.04
Cu (0.2423, 0.1580, 0.7503) x8  4 Lu 2.82-2.83, 4 Cu 3.01-3.04
C (0.0811, 0.2431, 0.0002) x8  6 Lu 2.37-2.42
C (0.2500, 0.2500, 0.5000) x4  6 Lu 2.37-2.47

***

Material: BaTmZn
Method: DFT, GGA-PBE
State: relaxed

a b c (Å): 7.5178 7.5178 7.5178
angles (deg): 90.00 90.00 90.00
Last column: nearest neighbours and their distance in Å.
Space group F-43m (No. 216)
One atom of each set of equivalent atoms:
Ba (0.0000, 0.0000, 0.0000) x4  4 Zn 3.26
Tm (0.0000, 0.0000, 0.5000) x4  4 Zn 3.26
Zn (0.2500, 0.2500, 0.2500) x4  4 Ba 3.26, 4 Tm 3.26

***

Material: NaHoNO
Method: DFT, GGA-PBE
State: relaxed

a b c (Å): 4.8489 4.8489 4.5731
angles (deg): 90.00 90.00 90.00
Last column: nearest neighbours and their distance in Å.
Space group P4/nmm (No. 129, origin choice 2)
One atom of each set of equivalent atoms:
Na (0.2500, 0.2500, 0.0011) x2  2 N 2.29, 4 O 2.42
Ho (0.2500, 0.7500, 0.5000) x2  2 O 2.29, 4 N 2.42
N (0.2500, 0.2500, 0.5009) x2  2 Na 2.29, 4 Ho 2.42
O (0.2500, 0.7500, 0.0000) x2  2 Ho 2.29, 4 Na 2.42

***

Material: H2Pd
Method: DFT, GGA-PBE
State: relaxed

a b c (Å): 7.5897 7.5897 7.5897
angles (deg): 90.00 90.00 90.00
Last column: nearest neighbours and their distance in Å.
Space group Fd-3m (No. 227, origin choice 2)
One atom of each set of equivalent atoms:
H (0.0000, 0.0000, 0.0000) x16  2 Pd 1.64
Pd (0.1250, 0.1250, 0.1250) x8  4 H 1.64

***

Material: HoErCo2I2
Method: DFT, GGA-PBE
State: relaxed

a b c (Å): 3.9572 3.9572 12.1575
angles (deg): 90.00 90.00 120.00
Last column: nearest neighbours and their distance in Å.
Space group P3m1 (No. 156)
One atom of each set of equivalent atoms:
Ho (0.0000, 0.0000, 0.0000) x1  6 Co 2.89-2.94, 3 I 3.14
Er (0.0000, 0.0000, 0.2960) x1  6 Co 2.88-2.93, 3 I 3.13
Co (0.3333, 0.6667, 0.1451) x1  3 Co 2.29
Co (0.6667, 0.3333, 0.1521) x1  3 Co 2.29
I (0.3333, 0.6667, 0.4721) x1  3 Er 3.13
I (0.6667, 0.3333, 0.8234) x1  3 Ho 3.14

***

Material: PrNb2
Method: DFT, GGA-PBE
State: relaxed

a b c (Å): 11.8839 11.8839 11.8839
angles (deg): 90.00 90.00 90.00
Last column: nearest neighbours and their distance in Å.
Space group Fd-3m (No. 227, origin choice 2)
One atom of each set of equivalent atoms:
Pr (0.1250, 0.1250, 0.1250) x8  4 Nb 2.57
Nb (0.0000, 0.0000, 0.0000) x16  2 Pr 2.57

Properties
DFT formation energy in eV per atom: 4.070

***

Number 1: uncorrected energy -6.273 eV per atom. Number 2: uncorrected energy -3.610 eV per atom. Number 3: uncorrected energy -5.730 eV per atom. Number 4: uncorrected energy -2.331 eV per atom. Number 5: uncorrected energy -6.186 eV per atom. Number 6: uncorrected energy -3.538 eV per atom. Number 7: uncorrected energy -5.205 eV per atom. Number 8: uncorrected energy -4.251 eV per atom.